<one>
First-principles (PBE) data for a relaxed SmDy6Sc2 crystal, as listed in Alexandria.

```
SmDy6Sc2
1.0
5.272 -4.882 0.000
5.272 4.882 0.000
-5.262 0.000 10.704
Sm Dy Sc
2 12 4
Cartesian
1.325 4.448 8.028
3.956 -4.448 2.676
1.307 0.999 0.732
0.759 1.373 6.471
2.766 1.974 3.786
-1.324 -0.999 6.084
5.146 1.974 1.566
1.891 1.373 9.585
3.390 -1.373 1.119
0.135 -1.974 9.138
6.605 0.999 4.620
2.515 -1.974 6.918
4.522 -1.373 4.233
3.974 -0.999 9.972
-1.305 0.841 9.200
1.326 -0.841 3.848
3.955 0.841 6.857
6.586 -0.841 1.505
```

Output
symmetry: No. 15

***

<two>
First-principles (PBE) data for a relaxed SmDy6Sc2 crystal, as listed in Alexandria.

```
SmDy6Sc2
1.0
3.606 2.082 6.288
-3.606 2.082 6.288
0.000 -4.164 6.288
Sm Dy Sc
1 6 2
Cartesian
0.000 0.000 0.000
-1.557 -0.899 11.045
-1.748 -1.009 14.827
1.557 -0.899 11.045
0.000 1.798 11.045
1.748 -1.009 14.827
0.000 2.018 14.827
0.000 0.000 4.989
0.000 0.000 8.288
```

Output
symmetry: No. 160

***

Most stable pick: <one>. Distance to second place: 0.221 eV/atom.